[1]
Density functional theory data (GGA-PBE) for a relaxed Pm4TlBiO crystal.

Cell: 6.649 6.578 9.525 Å, 90.00 110.43 90.00°
Positions (direct):
Pm 0.000 0.000 0.500
Pm 0.935 0.250 0.870
Pm 0.500 0.500 0.500
Pm 0.000 0.500 0.500
Pm 0.500 0.000 0.500
Pm 0.581 0.250 0.162
Pm 0.419 0.750 0.838
Pm 0.065 0.750 0.130
O 0.713 0.250 0.426
O 0.287 0.750 0.574
Tl 0.113 0.250 0.225
Tl 0.887 0.750 0.775
Bi 0.610 0.750 0.220
Bi 0.390 0.250 0.780

Computed properties:
- Volume: 195.2 Å³/f.u.
- M_tot: 0.00 μB per formula unit
- N(E_F): 14.2 states/eV/cell
- Formation energy from raw total energies: -1.17 eV per atom

---

[2]
Density functional theory data (GGA-PBE) for a relaxed Ac3TbY2Te6 crystal.

Cell: 4.429 9.356 10.321 Å, 106.74 102.39 90.00°
Positions (direct):
Y 0.166 0.333 0.333
Y 0.834 0.667 0.667
Te 0.006 0.236 0.012
Te 0.327 0.432 0.655
Te 0.673 0.568 0.345
Te 0.661 0.098 0.322
Te 0.339 0.902 0.678
Te 0.994 0.764 0.988
Ac 0.166 0.833 0.333
Ac 0.834 0.167 0.667
Ac 0.500 0.500 0.000
Tb 0.500 0.000 0.000

Computed properties:
- Volume: 399.2 Å³/f.u.
- M_tot: 0.00 μB per formula unit
- N(E_F): 5.4 states/eV/cell
- Formation energy from raw total energies: -1.40 eV per atom

---

[3]
Density functional theory data (GGA-PBE) for a relaxed BaVGa2Sb crystal.

Cell: 5.567 5.157 5.567 Å, 90.00 90.00 90.00°
Last column: magnetic moment on the atom in μB.
Positions (direct):
Ba 0.500 0.500 0.500  0.06
Ga 0.000 0.000 0.500  -0.01
Ga 0.500 0.000 0.000  -0.01
V 0.000 0.500 0.000  2.74
Sb 0.000 0.000 0.000  -0.05

Computed properties:
- Volume: 159.8 Å³/f.u.
- M_tot: 3.61 μB per formula unit
- N(E_F): 5.6 states/eV/cell
- Formation energy from raw total energies: 0.41 eV per atom